[1]
Density functional theory data (PBE-GGA) for a relaxed Mg2TcIr crystal.

- ΔH_f (0 K) (eV/atom) = 0.066
- relative energy among the computed polymorphs (kJ/mol of atoms) = 18.3
- calculated volume (Å³ per atom) = 15.801
- electronic total energy (Ry/atom) = -0.4070

a b c (Å): 5.328 5.328 5.328
angles (deg): 147.92 127.34 63.00
Atoms (fractional coordinates):
Mg  0.243  0.243  0.000
Mg  0.757  0.757  0.000
Tc  0.500  0.000  0.500
Ir  0.000  0.500  0.500

***

[2]
Density functional theory data (PBE-GGA) for a relaxed Mg2TcIr2 crystal.

- ΔH_f (0 K) (eV/atom) = 0.610
- relative energy among the computed polymorphs (kJ/mol of atoms) = 60.9
- calculated volume (Å³ per atom) = 18.642
- electronic total energy (Ry/atom) = -0.4150

a b c (Å): 7.818 7.818 7.818
angles (deg): 153.77 153.77 37.43
Atoms (fractional coordinates):
Mg  0.103  0.103  0.000
Mg  0.897  0.897  0.000
Tc  0.500  0.500  0.000
Ir  0.250  0.750  0.500
Ir  0.750  0.250  0.500

***

[3]
Density functional theory data (PBE-GGA) for a relaxed Mg2TcIr crystal.

- ΔH_f (0 K) (eV/atom) = 0.167
- relative energy among the computed polymorphs (kJ/mol of atoms) = 28.1
- calculated volume (Å³ per atom) = 15.588
- electronic total energy (Ry/atom) = -0.3996

a b c (Å): 4.637 4.637 2.899
angles (deg): 90.00 90.00 90.00
Atoms (fractional coordinates):
Mg  0.000  0.500  0.000
Mg  0.500  0.000  0.000
Tc  0.000  0.000  0.500
Ir  0.500  0.500  0.500

***

[4]
Density functional theory data (PBE-GGA) for a relaxed Mg2TcIr2 crystal.

- ΔH_f (0 K) (eV/atom) = -0.021
- relative energy among the computed polymorphs (kJ/mol of atoms) = 0.0
- calculated volume (Å³ per atom) = 17.483
- electronic total energy (Ry/atom) = -0.4613

a b c (Å): 6.462 6.462 4.186
angles (deg): 90.00 90.00 90.00
Atoms (fractional coordinates):
Mg  0.173  0.327  0.000
Mg  0.327  0.827  0.000
Mg  0.673  0.173  0.000
Mg  0.827  0.673  0.000
Tc  0.000  0.000  0.500
Tc  0.500  0.500  0.500
Ir  0.134  0.634  0.500
Ir  0.366  0.134  0.500
Ir  0.634  0.866  0.500
Ir  0.866  0.366  0.500

***

[5]
Density functional theory data (PBE-GGA) for a relaxed Mg2Tc2Ir crystal.

- ΔH_f (0 K) (eV/atom) = 0.635
- relative energy among the computed polymorphs (kJ/mol of atoms) = 21.2
- calculated volume (Å³ per atom) = 15.290
- electronic total energy (Ry/atom) = -0.4352

a b c (Å): 6.863 6.863 3.246
angles (deg): 90.00 90.00 90.00
Atoms (fractional coordinates):
Mg  0.132  0.368  0.000
Mg  0.368  0.868  0.000
Mg  0.632  0.132  0.000
Mg  0.868  0.632  0.000
Tc  0.170  0.670  0.500
Tc  0.330  0.170  0.500
Tc  0.670  0.830  0.500
Tc  0.830  0.330  0.500
Ir  0.000  0.000  0.000
Ir  0.500  0.500  0.000

***

[6]
Density functional theory data (PBE-GGA) for a relaxed Mg2TcIr crystal.

- ΔH_f (0 K) (eV/atom) = -0.124
- relative energy among the computed polymorphs (kJ/mol of atoms) = 0.0
- calculated volume (Å³ per atom) = 17.141
- electronic total energy (Ry/atom) = -0.4210

a b c (Å): 2.880 2.880 8.269
angles (deg): 90.00 90.00 90.00
Atoms (fractional coordinates):
Mg  0.000  0.000  0.000
Mg  0.500  0.500  0.324
Tc  0.000  0.000  0.568
Ir  0.500  0.500  0.769

***

Q: What is the formula in the sixth record?
A: Mg2TcIr

***

Q: Which of these has the highest electronic total energy?
A: number 3

***

Q: Look up the relative energy among the computed polymorphs of the first one.
A: 18.3 kJ/mol of atoms